(1)
Compound: ReMoW2
Source: Alexandria via LeMat-Bulk
Functional: PBE-GGA
Structure: optimized geometry

The structure in POSCAR format:
```
ReMoW2
1.0
2.797 0.000 0.000
0.000 3.985 0.000
0.000 0.000 5.733
Mo Re W
1 1 2
direct
0.000 0.000 0.505 Mo
0.500 0.500 0.749 Re
0.000 0.000 0.994 W
0.500 0.500 0.252 W
```

Summary:
E_form: 0.319 eV/atom
offset from the most stable computed form: 312 meV per atom

***

(2)
Compound: TiCuRe3
Source: Alexandria via LeMat-Bulk
Functional: PBE-GGA
Structure: optimized geometry

The structure in POSCAR format:
```
TiCuRe3
1.0
-4.291 1.054 0.407
-1.002 -2.812 -3.284
-0.522 -3.268 2.957
Re Cu Ti
3 1 1
direct
0.000 0.500 0.000 Re
0.000 0.000 0.500 Re
0.500 0.000 0.000 Re
0.000 0.000 0.000 Cu
0.500 0.500 0.500 Ti
```

Summary:
E_form: 1.673 eV/atom
offset from the most stable computed form: 0 meV per atom

***

(3)
Compound: Hf3HgPd4
Source: Alexandria via LeMat-Bulk
Functional: PBE-GGA
Structure: optimized geometry

The structure in POSCAR format:
```
Hf3HgPd4
1.0
-0.346 1.027 4.691
-2.383 -5.721 1.076
8.883 -3.435 1.406
Hf Hg Pd
6 2 8
direct
0.000 0.000 0.000 Hf
0.000 0.000 0.500 Hf
0.500 0.000 0.750 Hf
0.500 0.000 0.250 Hf
0.501 0.500 0.750 Hf
0.499 0.500 0.250 Hf
0.000 0.500 0.000 Hg
0.000 0.500 0.500 Hg
0.500 0.765 0.000 Pd
0.500 0.765 0.500 Pd
0.500 0.235 0.000 Pd
0.500 0.235 0.500 Pd
0.000 0.764 0.750 Pd
0.000 0.764 0.250 Pd
0.000 0.236 0.250 Pd
0.000 0.236 0.750 Pd
```

Summary:
E_form: -0.561 eV/atom

***

(4)
Compound: LaTb5Al3
Source: Alexandria via LeMat-Bulk
Functional: PBE-GGA
Structure: optimized geometry

The structure in POSCAR format:
```
LaTb5Al3
1.0
6.716 0.000 0.000
0.000 9.181 0.000
0.000 -4.591 7.951
La Tb Al
2 10 6
direct
0.000 0.000 0.000 La
0.500 0.000 0.000 La
0.000 0.667 0.333 Tb
0.500 0.333 0.667 Tb
0.000 0.333 0.667 Tb
0.500 0.667 0.333 Tb
0.750 0.669 0.669 Tb
0.750 0.000 0.331 Tb
0.750 0.331 0.000 Tb
0.250 0.331 0.331 Tb
0.250 0.000 0.669 Tb
0.250 0.669 0.000 Tb
0.750 0.341 0.341 Al
0.750 0.000 0.659 Al
0.750 0.659 0.000 Al
0.250 0.659 0.659 Al
0.250 0.000 0.341 Al
0.250 0.341 0.000 Al
```

Summary:
E_form: -0.246 eV/atom

***

(5)
Compound: La4Tb3Dy5
Source: Alexandria via LeMat-Bulk
Functional: PBE-GGA
Structure: optimized geometry

The structure in POSCAR format:
```
La4Tb3Dy5
1.0
6.010 0.000 0.000
3.005 7.714 -2.662
3.005 -0.825 9.194
La Tb Dy
4 3 5
direct
0.859 0.227 0.055 La
0.165 0.050 0.619 La
0.835 0.950 0.381 La
0.141 0.773 0.945 La
0.522 0.692 0.264 Tb
0.000 0.500 0.500 Tb
0.478 0.308 0.736 Tb
0.634 0.937 0.796 Dy
0.500 0.500 0.500 Dy
0.212 0.458 0.118 Dy
0.788 0.542 0.882 Dy
0.366 0.063 0.204 Dy
```

Summary:
E_form: 0.220 eV/atom

***

(6)
Compound: Cd2Sn2As
Source: Alexandria via LeMat-Bulk
Functional: PBE-GGA
Structure: optimized geometry

The structure in POSCAR format:
```
Cd2Sn2As
1.0
3.948 0.000 0.000
0.000 3.948 0.000
1.974 1.974 8.499
As Sn Cd
1 2 2
direct
0.000 0.000 0.000 As
0.411 0.411 0.177 Sn
0.589 0.589 0.823 Sn
0.750 0.250 0.500 Cd
0.250 0.750 0.500 Cd
```

Summary:
E_form: 0.185 eV/atom
offset from the most stable computed form: 17 meV per atom

***

(7)
Compound: LaZr2Ag2
Source: Alexandria via LeMat-Bulk
Functional: PBE-GGA
Structure: optimized geometry

The structure in POSCAR format:
```
LaZr2Ag2
1.0
8.489 0.000 0.000
0.000 8.489 0.000
0.000 0.000 3.252
Zr Ag La
4 4 2
direct
0.172 0.672 0.500 Zr
0.672 0.828 0.500 Zr
0.828 0.328 0.500 Zr
0.328 0.172 0.500 Zr
0.379 0.879 0.000 Ag
0.879 0.621 0.000 Ag
0.621 0.121 0.000 Ag
0.121 0.379 0.000 Ag
0.000 0.000 0.000 La
0.500 0.500 0.000 La
```

Summary:
E_form: 0.096 eV/atom
offset from the most stable computed form: 40 meV per atom

***

(8)
Compound: MgPt2Pb2
Source: Alexandria via LeMat-Bulk
Functional: PBE-GGA
Structure: optimized geometry

The structure in POSCAR format:
```
MgPt2Pb2
1.0
-2.217 -1.516 -3.539
-1.625 -3.334 2.446
-6.785 1.081 0.999
Pb Mg Pt
2 1 2
direct
0.750 0.250 0.500 Pb
0.250 0.750 0.500 Pb
0.000 0.000 0.000 Mg
0.397 0.397 0.206 Pt
0.603 0.603 0.794 Pt
```

Summary:
E_form: -0.013 eV/atom
offset from the most stable computed form: 237 meV per atom